(1)
A plane-wave DFT calculation with GGA-PBE was carried out for Ac2PrHoO6 after structural relaxation.

Cell lengths 6.106, 6.309, 8.845 Å; angles 90.00, 90.28, 90.00 degrees
Fractional positions:
Pr 0.500 0.000 0.000
O 0.202 0.190 0.433
O 0.812 0.797 0.928
O 0.798 0.810 0.567
Ac 0.984 0.048 0.749
Pr 0.000 0.500 0.500
O 0.188 0.203 0.072
Ho 0.000 0.500 0.000
O 0.372 0.939 0.742
O 0.688 0.297 0.572
Ho 0.500 0.000 0.500
Ac 0.016 0.952 0.251
O 0.312 0.703 0.428
O 0.628 0.061 0.258
Ac 0.484 0.452 0.249
O 0.702 0.310 0.933
O 0.872 0.561 0.242
O 0.298 0.690 0.067
O 0.128 0.439 0.758
Ac 0.516 0.548 0.751

Summary:
electronic total energy: -80.92 eV per formula unit
SG: P2_1/c
formation energy from raw total energies: -3.36 eV per atom
DOS at the Fermi energy: 0.00 states/eV per cell

(2)
A plane-wave DFT calculation with GGA-PBE was carried out for AcHoPtO6 after structural relaxation.

Cell lengths 5.313, 5.562, 5.562 Å; angles 120.00, 90.00, 90.00 degrees
Fractional positions:
O 0.287 0.711 0.009
Ho 0.500 0.667 0.333
O 0.713 0.298 0.009
O 0.713 0.711 0.702
O 0.287 0.298 0.289
Ac 0.000 0.333 0.667
O 0.287 0.991 0.702
O 0.713 0.991 0.289
Pt 0.500 0.000 0.000

Summary:
electronic total energy: -62.78 eV per formula unit
SG: P312
formation energy from raw total energies: -2.03 eV per atom
DOS at the Fermi energy: 7.71 states/eV per cell